No. 1
Computed, not measured: an optimized crystal structure of BeCd2N at the PBE level of DFT.

The space group is Fm-3m (No. 225) and the conventional cell measures 6.199, 6.199 and 6.199 Å, with angles of 90.00, 90.00 and 90.00 degrees. Symmetry generates all atoms from Be at (0.000, 0.000, 0.000), Cd at (0.250, 0.250, 0.250) and N at (0.000, 0.000, 0.500).

Its energy above the most stable polymorph in this dataset is 0.703 eV per formula unit. The uncorrected formation energy is 1.126 eV/atom. The calculation puts the total energy at -2.345 eV per atom.

No. 2
Computed, not measured: an optimized crystal structure of BeCdNO2 at the PBE level of DFT.

The space group is P4/mmm (No. 123) and the conventional cell measures 4.158, 4.158 and 4.117 Å, with angles of 90.00, 90.00 and 90.00 degrees. Symmetry generates all atoms from Be at (0.000, 0.000, 0.000), Cd at (0.500, 0.500, 0.500), N at (0.500, 0.500, 0.000) and O at (0.000, 0.500, 0.500).

The uncorrected formation energy is 1.295 eV/atom. The calculation puts the total energy at -3.281 eV per atom.

No. 3
Computed, not measured: an optimized crystal structure of BeCdNO2 at the PBE level of DFT.

The space group is P4/mmm (No. 123) and the conventional cell measures 3.677, 3.677 and 3.617 Å, with angles of 90.00, 90.00 and 90.00 degrees. Symmetry generates all atoms from Be at (0.000, 0.000, 0.000), Cd at (0.500, 0.500, 0.500), N at (0.000, 0.000, 0.500) and O at (0.000, 0.500, 0.000).

The uncorrected formation energy is -0.074 eV/atom. The calculation puts the total energy at -4.651 eV per atom.

No. 4
Computed, not measured: an optimized crystal structure of Be2CdOsN at the PBE level of DFT.

The space group is P4/mmm (No. 123) and the conventional cell measures 3.936, 3.936 and 3.875 Å, with angles of 90.00, 90.00 and 90.00 degrees. Symmetry generates all atoms from Be at (0.000, 0.500, 0.000), Cd at (0.000, 0.000, 0.500), Os at (0.500, 0.500, 0.500) and N at (0.500, 0.500, 0.000).

The uncorrected formation energy is 0.402 eV/atom. The calculation puts the total energy at -5.182 eV per atom.

No. 5
Computed, not measured: an optimized crystal structure of PaBeCdN3 at the PBE level of DFT.

The space group is Cmcm (No. 63) and the conventional cell measures 3.436, 10.069 and 9.215 Å, with angles of 90.00, 90.00 and 90.00 degrees. Symmetry generates all atoms from Pa at (0.000, 0.000, 0.000), Be at (0.000, 0.473, 0.250), Cd at (0.000, 0.252, 0.750), N at (0.000, 0.070, 0.250) and N at (0.000, 0.386, 0.093).

The uncorrected formation energy is -0.739 eV/atom. The calculation puts the total energy at -7.258 eV per atom.

No. 6
Computed, not measured: an optimized crystal structure of BeCd2PbN at the PBE level of DFT.

The space group is P4/mmm (No. 123) and the conventional cell measures 5.976, 5.976 and 4.563 Å, with angles of 90.00, 90.00 and 90.00 degrees. Symmetry generates all atoms from Be at (0.000, 0.000, 0.000), Cd at (0.000, 0.500, 0.500), Pb at (0.000, 0.000, 0.500) and N at (0.500, 0.500, 0.000).

The uncorrected formation energy is 1.579 eV/atom. The calculation puts the total energy at -1.939 eV per atom.

No. 7
Computed, not measured: an optimized crystal structure of BeCdPdN2 at the PBE level of DFT.

The space group is P4/mmm (No. 123) and the conventional cell measures 4.119, 4.119 and 4.521 Å, with angles of 90.00, 90.00 and 90.00 degrees. Symmetry generates all atoms from Be at (0.000, 0.000, 0.000), Cd at (0.000, 0.000, 0.500), Pd at (0.500, 0.500, 0.000) and N at (0.000, 0.500, 0.500).

The uncorrected formation energy is 2.153 eV/atom. The calculation puts the total energy at -3.144 eV per atom.

No. 8
Computed, not measured: an optimized crystal structure of BeCdS2N at the PBE level of DFT.

The space group is P4/mmm (No. 123) and the conventional cell measures 5.052, 5.052 and 4.106 Å, with angles of 90.00, 90.00 and 90.00 degrees. Symmetry generates all atoms from Be at (0.000, 0.000, 0.000), Cd at (0.500, 0.500, 0.500), S at (0.000, 0.500, 0.500) and N at (0.500, 0.500, 0.000).

Its energy above the most stable polymorph in this dataset is 5.608 eV per formula unit. The uncorrected formation energy is 1.557 eV/atom. The calculation puts the total energy at -2.687 eV per atom.

No. 9
Computed, not measured: an optimized crystal structure of BeCdS2N at the PBE level of DFT.

The space group is P4/mmm (No. 123) and the conventional cell measures 4.931, 4.931 and 3.138 Å, with angles of 90.00, 90.00 and 90.00 degrees. Symmetry generates all atoms from Be at (0.000, 0.000, 0.000), Cd at (0.500, 0.500, 0.500), S at (0.000, 0.500, 0.000) and N at (0.000, 0.000, 0.500).

Its energy above the most stable polymorph in this dataset is 0.000 eV per formula unit. The uncorrected formation energy is 0.436 eV/atom. The calculation puts the total energy at -3.809 eV per atom.

No. 10
Computed, not measured: an optimized crystal structure of Sc2BeCdN at the PBE level of DFT.

The space group is P4/mmm (No. 123) and the conventional cell measures 4.662, 4.662 and 3.490 Å, with angles of 90.00, 90.00 and 90.00 degrees. Symmetry generates all atoms from Sc at (0.000, 0.500, 0.000), Be at (0.000, 0.000, 0.500), Cd at (0.500, 0.500, 0.500) and N at (0.000, 0.000, 0.000).

The uncorrected formation energy is -0.663 eV/atom. The calculation puts the total energy at -5.789 eV per atom.

No. 11
Computed, not measured: an optimized crystal structure of BeCdSeN2 at the PBE level of DFT.

The space group is P4/mmm (No. 123) and the conventional cell measures 3.681, 3.681 and 5.504 Å, with angles of 90.00, 90.00 and 90.00 degrees. Symmetry generates all atoms from Be at (0.000, 0.000, 0.000), Cd at (0.500, 0.500, 0.500), Se at (0.000, 0.000, 0.500) and N at (0.000, 0.500, 0.000).

Its energy above the most stable polymorph in this dataset is 0.000 eV per formula unit. The uncorrected formation energy is 1.056 eV/atom. The calculation puts the total energy at -3.899 eV per atom.

No. 12
Computed, not measured: an optimized crystal structure of BeCdSe2N at the PBE level of DFT.

The space group is P4/mmm (No. 123) and the conventional cell measures 5.295, 5.295 and 4.123 Å, with angles of 90.00, 90.00 and 90.00 degrees. Symmetry generates all atoms from Be at (0.000, 0.000, 0.000), Cd at (0.500, 0.500, 0.500), Se at (0.000, 0.500, 0.500) and N at (0.500, 0.500, 0.000).

Its energy above the most stable polymorph in this dataset is 5.835 eV per formula unit. The uncorrected formation energy is 1.462 eV/atom. The calculation puts the total energy at -2.525 eV per atom.

No. 13
Computed, not measured: an optimized crystal structure of BeCdSeN2 at the PBE level of DFT.

The space group is P4/mmm (No. 123) and the conventional cell measures 4.098, 4.098 and 6.065 Å, with angles of 90.00, 90.00 and 90.00 degrees. Symmetry generates all atoms from Be at (0.000, 0.000, 0.000), Cd at (0.500, 0.500, 0.500), Se at (0.500, 0.500, 0.000) and N at (0.000, 0.500, 0.500).

Its energy above the most stable polymorph in this dataset is 4.465 eV per formula unit. The uncorrected formation energy is 1.949 eV/atom. The calculation puts the total energy at -3.006 eV per atom.

No. 14
Computed, not measured: an optimized crystal structure of BeCdSe2N at the PBE level of DFT.

The space group is P4/mmm (No. 123) and the conventional cell measures 5.384, 5.384 and 3.024 Å, with angles of 90.00, 90.00 and 90.00 degrees. Symmetry generates all atoms from Be at (0.000, 0.000, 0.000), Cd at (0.500, 0.500, 0.500), Se at (0.000, 0.500, 0.000) and N at (0.000, 0.000, 0.500).

Its energy above the most stable polymorph in this dataset is 0.000 eV per formula unit. The uncorrected formation energy is 0.296 eV/atom. The calculation puts the total energy at -3.692 eV per atom.

No. 15
Computed, not measured: an optimized crystal structure of SrBe2CdN at the PBE level of DFT.

The space group is P4/mmm (No. 123) and the conventional cell measures 5.916, 5.916 and 4.261 Å, with angles of 90.00, 90.00 and 90.00 degrees. Symmetry generates all atoms from Sr at (0.000, 0.000, 0.000), Be at (0.000, 0.500, 0.000), Cd at (0.500, 0.500, 0.500) and N at (0.000, 0.000, 0.500).

The uncorrected formation energy is 1.796 eV/atom. The calculation puts the total energy at -1.879 eV per atom.